{"formula": "CaVPt2C", "functional": "GGA-PBE", "state": "relaxed", "lattice": [[-3.180, -3.755, 0.662], [3.754, -3.234, -0.309], [0.564, 0.256, 4.165]], "species": ["Pt", "Ca", "C", "V", "Pt"], "fractional_positions": [[0.500, 0.000, 0.000], [0.000, 0.000, 0.000], [0.000, 0.000, 0.500], [0.500, 0.500, 0.500], [0.000, 0.500, 0.000]], "final_energy_ev_per_atom": -4.325, "formation_enthalpy_0k_kcal_per_mol_atoms": 49.8, "m_tot_mub_per_cell": 0.2, "spacegroup": "P4/mmm, No. 123"}